Entry 1:
BaZr2Br after structural relaxation. Source: the Alexandria database, functional PBE.

Cell lengths 6.7148, 6.7148, 6.7148 Å; angles 150.82, 121.48, 66.72 degrees
Fractional coordinates of all 4 atoms:
Ba (0.0000, 0.0000, 0.0000)
Zr (0.4696, 0.4696, 0.0000)
Zr (0.6858, 0.1858, 0.5000)
Br (0.2703, 0.7703, 0.5000)

Results
**D(E_F)**: 3.3 states/eV/cell
**Volume**: 125 Å³/f.u.
**Symmetry**: No. 44
**Relative energy among the computed polymorphs**: 0.354 eV per atom
**Spin magnetization**: 0.00 Bohr magnetons per cell
**Formation energy (no corrections)**: 0.166 eV per atom

---

Entry 2:
RbBiPb after structural relaxation. Source: the Alexandria database, functional PBE.

Cell lengths 5.5847, 5.5847, 8.4769 Å; angles 90.11, 90.11, 89.98 degrees
Fractional coordinates of all 6 atoms:
Rb (0.2488, 0.2488, 0.1660)
Rb (0.7512, 0.7512, 0.8340)
Bi (0.2508, 0.2508, 0.7076)
Bi (0.7492, 0.7492, 0.2924)
Pb (0.2502, 0.7498, 0.5000)
Pb (0.7498, 0.2502, 0.5000)

Results
**DFT formation energy**: -24 kJ/mol of atoms
**D(E_F)**: 4.3 states/eV/cell
**Volume**: 132 Å³/f.u.
**Symmetry**: No. 12
**Spin magnetization**: 0.00 Bohr magnetons per cell

---

Entry 3:
NaPd3S after structural relaxation. Source: the Alexandria database, functional PBE.

Cell lengths 4.6619, 4.6619, 4.6619 Å; angles 90.00, 90.00, 90.00 degrees
Fractional coordinates of all 5 atoms:
Na (0.0000, 0.0000, 0.0000)
Pd (0.0000, 0.0000, 0.5000)
Pd (0.0000, 0.5000, 0.0000)
Pd (0.5000, 0.0000, 0.0000)
S (0.5000, 0.5000, 0.5000)

Results
**D(E_F)**: 7.5 states/eV/cell
**Volume**: 101 Å³/f.u.
**Symmetry**: No. 221
**Relative energy among the computed polymorphs**: 1.468 eV per atom
**Spin magnetization**: 0.00 Bohr magnetons per cell
**Formation energy (no corrections)**: 1.180 eV per atom

---

Entry 4:
BaZnPb2S after structural relaxation. Source: the Alexandria database, functional PBE.

Cell lengths 5.0619, 5.0619, 6.9960 Å; angles 90.00, 90.00, 90.00 degrees
Fractional coordinates of all 5 atoms:
Ba (0.0000, 0.0000, 0.0000)
Zn (0.0000, 0.0000, 0.5000)
Pb (0.0000, 0.5000, 0.5000)
Pb (0.5000, 0.0000, 0.5000)
S (0.5000, 0.5000, 0.0000)

Results
**D(E_F)**: 0.9 states/eV/cell
**Volume**: 179 Å³/f.u.
**Symmetry**: No. 123
**Relative energy among the computed polymorphs**: 0.000 eV per atom
**Spin magnetization**: 0.00 Bohr magnetons per cell
**Formation energy (no corrections)**: -0.069 eV per atom

---

Entry 5:
KTlCo3 after structural relaxation. Source: the Alexandria database, functional PBE.

Cell lengths 4.6143, 4.6143, 4.6143 Å; angles 90.00, 90.00, 90.00 degrees
Fractional coordinates of all 5 atoms:
K (0.0000, 0.0000, 0.0000)
Tl (0.5000, 0.5000, 0.5000)
Co (0.0000, 0.0000, 0.5000)
Co (0.0000, 0.5000, 0.0000)
Co (0.5000, 0.0000, 0.0000)

Results
**DFT formation energy**: 215 kJ/mol of atoms
**D(E_F)**: 13.7 states/eV/cell
**Volume**: 98 Å³/f.u.
**Symmetry**: No. 221
**Relative energy among the computed polymorphs**: 0.784 eV per atom
**Spin magnetization**: 4.18 Bohr magnetons per cell

---

Entry 6:
BAu2Se2 after structural relaxation. Source: the Alexandria database, functional PBE.

Cell lengths 5.9601, 5.9601, 5.3487 Å; angles 90.00, 90.00, 90.00 degrees
Fractional coordinates of all 10 atoms:
B (0.0000, 0.0000, 0.0000)
B (0.5000, 0.5000, 0.0000)
Au (0.1772, 0.3228, 0.5000)
Au (0.3228, 0.8228, 0.5000)
Au (0.6772, 0.1772, 0.5000)
Au (0.8228, 0.6772, 0.5000)
Se (0.1840, 0.3160, 0.0000)
Se (0.3160, 0.8160, 0.0000)
Se (0.6840, 0.1840, 0.0000)
Se (0.8160, 0.6840, 0.0000)

Results
**D(E_F)**: 5.2 states/eV/cell
**Volume**: 95 Å³/f.u.
**Symmetry**: No. 127
**Relative energy among the computed polymorphs**: 0.000 eV per atom
**Spin magnetization**: 0.00 Bohr magnetons per cell
**Formation energy (no corrections)**: 0.623 eV per atom

---

Entry 7:
Pm6Sm3Ho after structural relaxation. Source: the Alexandria database, functional PBE.

Cell lengths 11.0862, 11.0862, 6.4562 Å; angles 90.00, 90.00, 120.69 degrees
Fractional coordinates of all 20 atoms:
Pm (0.0354, 0.9646, 0.5000)
Pm (0.0575, 0.4754, 0.9996)
Pm (0.2773, 0.7227, 0.7160)
Pm (0.2880, 0.3725, 0.8114)
Pm (0.3725, 0.2880, 0.3114)
Pm (0.4754, 0.0575, 0.4996)
Pm (0.5246, 0.9425, 0.9996)
Pm (0.6275, 0.7120, 0.8114)
Pm (0.7120, 0.6275, 0.3114)
Pm (0.7227, 0.2773, 0.2160)
Pm (0.9425, 0.5246, 0.4996)
Pm (0.9646, 0.0354, 0.0000)
Sm (0.0572, 0.2893, 0.4036)
Sm (0.2893, 0.0572, 0.9036)
Sm (0.3850, 0.6150, 0.2859)
Sm (0.6150, 0.3850, 0.7859)
Sm (0.7107, 0.9428, 0.4036)
Sm (0.9428, 0.7107, 0.9036)
Ho (0.1929, 0.8071, 0.2513)
Ho (0.8071, 0.1929, 0.7513)

Results
**DFT formation energy**: 13 kJ/mol of atoms
**D(E_F)**: 26.3 states/eV/cell
**Volume**: 341 Å³/f.u.
**Symmetry**: No. 36
**Relative energy among the computed polymorphs**: 0.000 eV per atom
**Spin magnetization**: 0.00 Bohr magnetons per cell

---

Entry 8:
AlCr2Sb after structural relaxation. Source: the Alexandria database, functional PBE.

Cell lengths 3.9896, 5.2256, 5.2256 Å; angles 35.32, 90.00, 90.00 degrees
Fractional coordinates of all 4 atoms:
Al (0.0000, 0.0000, 0.0000)
Cr (0.0000, 0.7151, 0.7151)
Cr (0.5000, 0.5977, 0.5977)
Sb (0.5000, 0.3255, 0.3255)

Results
**D(E_F)**: 2.3 states/eV/cell
**Volume**: 63 Å³/f.u.
**Symmetry**: No. 38
**Relative energy among the computed polymorphs**: 0.086 eV per atom
**Spin magnetization**: 0.13 Bohr magnetons per cell
**Formation energy (no corrections)**: 0.230 eV per atom

---

Entry 9:
MgGaPdAu after structural relaxation. Source: the Alexandria database, functional PBE.

Cell lengths 3.4027, 4.3875, 4.3933 Å; angles 90.00, 90.00, 90.00 degrees
Fractional coordinates of all 4 atoms:
Mg (0.0000, 0.0000, 0.0000)
Ga (0.0000, 0.5000, 0.5000)
Pd (0.5000, 0.0000, 0.5000)
Au (0.5000, 0.5000, 0.0000)

Results
**DFT formation energy**: -52 kJ/mol of atoms
**D(E_F)**: 0.8 states/eV/cell
**Volume**: 66 Å³/f.u.
**Symmetry**: No. 47
**Spin magnetization**: 0.00 Bohr magnetons per cell

---

Entry 10:
PmDyGe2Pd2 after structural relaxation. Source: the Alexandria database, functional PBE.

Cell lengths 4.4501, 4.4501, 7.2084 Å; angles 90.00, 90.00, 120.00 degrees
Fractional coordinates of all 6 atoms:
Pm (0.0000, 0.0000, 0.0000)
Dy (0.0000, 0.0000, 0.5000)
Ge (0.3333, 0.6667, 0.2611)
Ge (0.6667, 0.3333, 0.7389)
Pd (0.3333, 0.6667, 0.7185)
Pd (0.6667, 0.3333, 0.2815)

Results
**DFT formation energy**: -89 kJ/mol of atoms
**D(E_F)**: 4.3 states/eV/cell
**Volume**: 124 Å³/f.u.
**Symmetry**: No. 164
**Spin magnetization**: 0.00 Bohr magnetons per cell

---

Entry 11:
RbNaHg4 after structural relaxation. Source: the Alexandria database, functional PBE.

Cell lengths 5.2772, 5.2772, 7.9456 Å; angles 90.00, 90.00, 120.00 degrees
Fractional coordinates of all 6 atoms:
Rb (0.0000, 0.0000, 0.0000)
Na (0.0000, 0.0000, 0.5000)
Hg (0.3333, 0.6667, 0.3002)
Hg (0.3333, 0.6667, 0.6998)
Hg (0.6667, 0.3333, 0.3002)
Hg (0.6667, 0.3333, 0.6998)

Results
**DFT formation energy**: -24 kJ/mol of atoms
**D(E_F)**: 2.8 states/eV/cell
**Volume**: 192 Å³/f.u.
**Symmetry**: No. 191
**Relative energy among the computed polymorphs**: 0.000 eV per atom
**Spin magnetization**: 0.00 Bohr magnetons per cell

---

Entry 12:
Ba2NaPbS after structural relaxation. Source: the Alexandria database, functional PBE.

Cell lengths 6.1737, 6.1737, 5.1479 Å; angles 90.00, 90.00, 90.00 degrees
Fractional coordinates of all 5 atoms:
Ba (0.0000, 0.5000, 0.0000)
Ba (0.5000, 0.0000, 0.0000)
Na (0.0000, 0.0000, 0.5000)
Pb (0.5000, 0.5000, 0.5000)
S (0.0000, 0.0000, 0.0000)

Results
**D(E_F)**: 4.9 states/eV/cell
**Volume**: 196 Å³/f.u.
**Symmetry**: No. 123
**Spin magnetization**: 0.00 Bohr magnetons per cell
**Formation energy (no corrections)**: -0.911 eV per atom